Computed, not measured: NaNdCoS3 after structural relaxation at the GGA-PBE level of DFT.

Properties
The calculated total energy comes out at -5.4605 eV per atom. The calculation puts the distance to the lowest polymorph of the same formula at 0.000 eV per atom. The value obtained for the total magnetization is 11.829 μB/cell.

Cell: 11.0774 3.9929 11.4723 Å, 90.00 90.00 90.00°
With the nearest neighbours (Å) after each atom.
Space group Pnma (No. 62)
One atom of each set of equivalent atoms:
Na 0.1613 0.2500 0.0081  7 S 2.93-3.26
Nd 0.0213 0.2500 0.6769  7 S 2.84-3.00
Co 0.2454 0.2500 0.2898  4 S 2.24-2.30
S 0.0605 0.7500 0.8484  1 Co 2.25
S 0.1166 0.2500 0.4406  1 Co 2.24
S 0.2149 0.7500 0.1954  2 Co 2.30



Computed, not measured: NaNdCoS3 after structural relaxation at the GGA-PBE level of DFT.

Properties
The calculated total energy comes out at -5.4284 eV per atom. The calculation puts the distance to the lowest polymorph of the same formula at 0.032 eV per atom. The value obtained for the total magnetization is 11.963 μB/cell.

Cell: 3.9527 12.6673 10.8610 Å, 90.00 90.00 90.00°
With the nearest neighbours (Å) after each atom.
Space group Cmcm (No. 63)
One atom of each set of equivalent atoms:
Na 0.0000 0.2483 0.2500  6 S 3.00
Nd 0.0000 0.0000 0.0000  6 S 2.80-2.87
Co 0.0000 0.4708 0.7500  4 S 2.25-2.37
S 0.0000 0.0735 0.7500  2 Co 2.37
S 0.0000 0.3621 0.5864  1 Co 2.25



Computed, not measured: NaNdCoSe3 after structural relaxation at the GGA-PBE level of DFT.

Properties
The calculated total energy comes out at -4.9991 eV per atom. The calculation puts the distance to the lowest polymorph of the same formula at 0.007 eV per atom. The value obtained for the total magnetization is 11.978 μB/cell.

Cell: 4.1001 13.3825 11.1476 Å, 90.00 90.00 90.00°
With the nearest neighbours (Å) after each atom.
Space group Cmcm (No. 63)
One atom of each set of equivalent atoms:
Na 0.0000 0.2465 0.2500  6 Se 3.11
Nd 0.0000 0.0000 0.0000  6 Se 2.93-2.98
Co 0.0000 0.4730 0.7500  4 Se 2.39-2.49
Se 0.0000 0.0783 0.7500  2 Co 2.49
Se 0.0000 0.3600 0.5841  1 Co 2.39



Computed, not measured: NaNdCoSe3 after structural relaxation at the GGA-PBE level of DFT.

Properties
The calculated total energy comes out at -5.0064 eV per atom. The calculation puts the distance to the lowest polymorph of the same formula at 0.000 eV per atom. The value obtained for the total magnetization is 11.357 μB/cell.

Cell: 11.4742 4.1424 12.0087 Å, 90.00 90.00 90.00°
With the nearest neighbours (Å) after each atom.
Space group Pnma (No. 62)
One atom of each set of equivalent atoms:
Na 0.1735 0.2500 0.0029  7 Se 3.06-3.26, 2 Co 3.39
Nd 0.0193 0.2500 0.6812  7 Se 2.96-3.11
Co 0.2491 0.7500 0.7914  4 Se 2.37-2.42
Se 0.0527 0.7500 0.8544  1 Co 2.38
Se 0.1163 0.2500 0.4415  1 Co 2.37
Se 0.2172 0.7500 0.1930  2 Co 2.42



Computed, not measured: NaNdCoTe3 after structural relaxation at the GGA-PBE level of DFT.

Properties
The calculated total energy comes out at -4.5186 eV per atom. The value obtained for the total magnetization is 10.066 μB/cell.

Cell: 4.2217 14.7213 11.5951 Å, 90.00 90.00 90.00°
With the nearest neighbours (Å) after each atom.
Space group Cmcm (No. 63)
One atom of each set of equivalent atoms:
Na 0.0000 0.2450 0.2500  6 Te 3.23-3.30
Nd 0.0000 0.0000 0.0000  6 Te 3.13-3.14
Co 0.0000 0.4754 0.7500  4 Te 2.59-2.63
Te 0.0000 0.0823 0.7500  2 Co 2.63
Te 0.0000 0.3576 0.5837  1 Co 2.59



Computed, not measured: NaNdCoTe3 after structural relaxation at the GGA-PBE level of DFT.

Properties
The calculated total energy comes out at -4.5180 eV per atom. The value obtained for the total magnetization is 8.751 μB/cell.

Cell: 12.2128 4.3541 12.8678 Å, 90.00 90.00 90.00°
With the nearest neighbours (Å) after each atom.
Space group Pnma (No. 62)
One atom of each set of equivalent atoms:
Na 0.1854 0.2500 0.0051  7 Te 3.21-3.46, 2 Co 3.53
Nd 0.0273 0.2500 0.3144  7 Te 3.15-3.36
Co 0.2486 0.7500 0.2121  4 Te 2.55-2.56
Te 0.0540 0.7500 0.1388  1 Co 2.56
Te 0.1139 0.2500 0.5620  1 Co 2.56
Te 0.2100 0.7500 0.8079  2 Co 2.55